A plane-wave DFT calculation with PBE-GGA was carried out for a relaxed structure of HoMg8Ni2.

a b c (Å): 7.9627 11.9312 5.1463
angles (deg): 90.00 104.37 90.00
Space group C2/m (No. 12)
One atom of each set of equivalent atoms:
Ho (0.0000, 0.0000, 0.0000) [2 per cell]
Mg (0.0000, 0.2680, 0.0000) [4 per cell]
Mg (0.0852, 0.5000, 0.7763) [4 per cell]
Mg (0.1997, 0.1309, 0.5764) [8 per cell]
Ni (0.0000, 0.3084, 0.5000) [4 per cell]

Summary:
- energy (eV per cell) = -57.58
- calculated volume (Å³/atom) = 21.53
- formation enthalpy at 0 K (kJ/mol of atoms) = 1
- magnetization (μB/f.u.) = 0.00